4
Lattice="-6.4864 5.1897 2.3377 -7.0162 2.5474 4.3307 -4.8077 4.9049 5.2249" Properties=species:S:1:pos:R:3 comment="FeCl3 PBE relaxed" raw_formation_energy_ev_per_atom=-0.1574 spacegroup=R-3m energy_ev_per_atom=-3.66 pbc="T T T"
Cl -5.2160 3.6013 3.3880
Cl -13.0942 9.0407 8.5052
Cl -9.1551 6.3210 5.9466
Fe 0.0000 0.0000 0.0000

5
Lattice="4.7025 0.0000 0.0000 0.0000 4.7025 0.0000 0.0000 0.0000 4.7025" Properties=species:S:1:pos:R:3 comment="Zn3SiAs PBE relaxed" raw_formation_energy_ev_per_atom=0.5353 polymorph_energy_mev_per_atom=0 spacegroup=Pm-3m energy_ev_per_atom=-2.24 pbc="T T T"
Zn 2.3512 0.0000 0.0000
Zn 0.0000 0.0000 2.3512
Zn 0.0000 2.3512 0.0000
Si 0.0000 0.0000 0.0000
As 2.3512 2.3512 2.3512

5
Lattice="-3.2752 1.6871 2.7726 -3.1450 -0.2966 -3.5346 -1.0845 -4.2814 1.3242" Properties=species:S:1:pos:R:3 comment="MgBeIn2N PBE relaxed" raw_formation_energy_ev_per_atom=1.0287 spacegroup=P4/mmm energy_ev_per_atom=-2.80 pbc="T T T"
Mg -1.5725 -0.1483 -1.7673
N -3.7523 -1.4455 0.2811
Be 0.0000 0.0000 0.0000
In -0.5422 -2.1407 0.6621
In -1.6376 0.8435 1.3863

5
Lattice="-3.0007 -4.1625 0.1243 0.6040 -0.2835 5.0893 -4.0094 2.9093 0.6379" Properties=species:S:1:pos:R:3 comment="ZrAuSe2Br PBE relaxed" raw_formation_energy_ev_per_atom=0.3682 polymorph_energy_mev_per_atom=625 spacegroup=P4/mmm energy_ev_per_atom=-3.73 pbc="T T T"
Br -2.0047 1.4547 0.3190
Se -1.5003 -2.0813 0.0622
Se 0.3020 -0.1417 2.5446
Zr -3.2030 -0.7683 2.9257
Au 0.0000 0.0000 0.0000